1.
A plane-wave DFT calculation with PBE was carried out for a geometry-optimized BaBeRh2F structure.

Structure (POSCAR):
```
BaBeRh2F
1.0
4.0770 0.0000 0.0000
0.0000 4.0770 0.0000
0.0000 0.0000 6.1087
Ba Be Rh F
1 1 2 1
Cartesian
0.0000 0.0000 0.0000
2.0385 2.0385 3.0543
0.0000 2.0385 3.0543
2.0385 0.0000 3.0543
2.0385 2.0385 0.0000
```

Output
Raw formation energy: -629 meV/atom
D(E_F): 3.47 states/eV per cell
SG: P4/mmm
Size of the total moment: 1.0 μB/f.u.

***

2.
A plane-wave DFT calculation with PBE was carried out for a geometry-optimized RbTa2S structure.

Structure (POSCAR):
```
RbTa2S
1.0
4.9605 0.0000 0.0000
0.0000 4.9605 0.0000
0.0000 0.0000 18.0157
Rb Ta S
4 8 4
Cartesian
0.0000 0.0000 0.0000
0.0000 2.4802 4.5039
2.4802 0.0000 13.5118
2.4802 2.4802 9.0079
0.2453 3.7204 11.2598
1.2401 0.2453 6.7559
1.2401 2.2350 15.7638
2.2350 3.7204 2.2520
2.7255 1.2401 2.2520
3.7204 2.7255 15.7638
3.7204 4.7152 6.7559
4.7152 1.2401 11.2598
0.0000 0.0000 9.0079
0.0000 2.4802 13.5118
2.4802 0.0000 4.5039
2.4802 2.4802 0.0000
```

Output
Raw formation energy: 919 meV/atom
D(E_F): 18.84 states/eV per cell
SG: I-42d
Size of the total moment: 0.0 μB/f.u.

***

3.
A plane-wave DFT calculation with PBE was carried out for a geometry-optimized Pa2GaIr structure.

Structure (POSCAR):
```
Pa2GaIr
1.0
3.4743 0.0000 0.0000
-1.7372 3.0089 0.0000
0.0000 0.0000 30.1236
Pa Ga Ir
6 3 3
Cartesian
0.0000 0.0000 3.0934
0.0000 0.0000 27.0303
0.0000 2.0059 16.9890
0.0000 2.0059 23.1758
1.7372 1.0030 6.9478
1.7372 1.0030 13.1346
0.0000 0.0000 0.0000
0.0000 2.0059 20.0824
1.7372 1.0030 10.0412
0.0000 0.0000 15.0618
0.0000 2.0059 5.0206
1.7372 1.0030 25.1030
```

Output
Formation energy: 0.094 eV/atom
D(E_F): 18.92 states/eV per cell
SG: R-3m
Size of the total moment: 0.0 μB/f.u.
Polymorph energy (0 for the lowest one): 0.635 eV/atom

***

4.
A plane-wave DFT calculation with PBE was carried out for a geometry-optimized FeCuP3 structure.

Structure (POSCAR):
```
FeCuP3
1.0
4.3226 0.0000 0.0000
0.0000 4.3226 0.0000
0.0000 0.0000 4.3226
Fe Cu P
1 1 3
Cartesian
0.0000 0.0000 0.0000
2.1613 2.1613 2.1613
0.0000 0.0000 2.1613
0.0000 2.1613 0.0000
2.1613 0.0000 0.0000
```

Output
Formation energy: 0.664 eV/atom
D(E_F): 1.52 states/eV per cell
SG: Pm-3m
Size of the total moment: 0.0 μB/f.u.
Polymorph energy (0 for the lowest one): 0.000 eV/atom

***

5.
A plane-wave DFT calculation with PBE was carried out for a geometry-optimized Li4Pa3TiSe8 structure.

Structure (POSCAR):
```
Li4Pa3TiSe8
1.0
3.9155 2.2606 6.7100
-3.9155 2.2606 6.7100
0.0000 -4.5212 6.7100
Li Pa Ti Se
4 3 1 8
Cartesian
0.0000 0.0000 0.0000
-1.9577 -1.1303 6.7100
-1.9577 1.1303 13.4199
0.0000 2.2606 6.7100
-3.9155 0.0000 10.0650
-1.9577 1.1303 3.3550
1.9577 1.1303 3.3550
0.0000 0.0000 10.0650
0.0000 0.0000 5.1710
0.0000 -2.1469 8.3594
-1.8592 1.0734 8.3594
-1.8592 -1.0734 11.7706
1.8592 1.0734 8.3593
1.8592 -1.0734 11.7706
0.0000 2.1469 11.7706
0.0000 0.0000 14.9589
```

Output
Raw formation energy: -1256 meV/atom
D(E_F): 16.48 states/eV per cell
SG: R-3m
Size of the total moment: 6.5 μB/f.u.

***

6.
A plane-wave DFT calculation with PBE was carried out for a geometry-optimized Cu2Sn2Pb structure.

Structure (POSCAR):
```
Cu2Sn2Pb
1.0
4.3398 0.0000 0.0000
0.0000 4.3398 0.0000
0.0000 0.0000 12.0527
Cu Sn Pb
4 4 2
Cartesian
0.0000 2.1699 3.0132
0.0000 2.1699 9.0395
2.1699 0.0000 3.0132
2.1699 0.0000 9.0395
0.0000 0.0000 1.4855
0.0000 0.0000 10.5672
2.1699 2.1699 4.5408
2.1699 2.1699 7.5118
0.0000 0.0000 6.0263
2.1699 2.1699 0.0000
```

Output
Formation energy: 0.147 eV/atom
D(E_F): 4.19 states/eV per cell
SG: I4/mmm
Size of the total moment: 0.0 μB/f.u.
Polymorph energy (0 for the lowest one): 0.004 eV/atom

***

Repeat the second record exactly.
A plane-wave DFT calculation with PBE was carried out for a geometry-optimized RbTa2S structure.

Structure (POSCAR):
```
RbTa2S
1.0
4.9605 0.0000 0.0000
0.0000 4.9605 0.0000
0.0000 0.0000 18.0157
Rb Ta S
4 8 4
Cartesian
0.0000 0.0000 0.0000
0.0000 2.4802 4.5039
2.4802 0.0000 13.5118
2.4802 2.4802 9.0079
0.2453 3.7204 11.2598
1.2401 0.2453 6.7559
1.2401 2.2350 15.7638
2.2350 3.7204 2.2520
2.7255 1.2401 2.2520
3.7204 2.7255 15.7638
3.7204 4.7152 6.7559
4.7152 1.2401 11.2598
0.0000 0.0000 9.0079
0.0000 2.4802 13.5118
2.4802 0.0000 4.5039
2.4802 2.4802 0.0000
```

Output
Raw formation energy: 919 meV/atom
D(E_F): 18.84 states/eV per cell
SG: I-42d
Size of the total moment: 0.0 μB/f.u.

***

- What is the size of the total moment in the sixth record?
  0.0 μB/f.u.